(1)
This record from Alexandria via LeMat-Bulk describes a geometry-optimized Pr6Nd5Dy2 structure. The functional is PBE-GGA.

a b c (Å): 11.9033 21.1404 3.6799
angles (deg): 90.00 90.00 90.00
Space group Pbam (No. 55)
Symmetry-distinct sites (fractional):
1 Pr 0.0626 0.0807 0.0000 [4 per cell]
2 Pr 0.0829 0.3683 0.0000 [4 per cell]
3 Pr 0.1746 0.6384 0.5000 [4 per cell]
4 Nd 0.0000 0.5000 0.5000 [2 per cell]
5 Nd 0.0870 0.2271 0.5000 [4 per cell]
6 Nd 0.1972 0.9452 0.5000 [4 per cell]
7 Dy 0.1694 0.7897 0.0000 [4 per cell]

Properties
DOS(E_F): 31.3 states/eV/cell
E_form: 1.16 eV per formula unit



(2)
This record from Alexandria via LeMat-Bulk describes a geometry-optimized Pr12Nd2Dy5 structure. The functional is PBE-GGA.

a b c (Å): 13.2018 11.8198 9.5470
angles (deg): 90.00 116.32 90.00
Space group C2/m (No. 12)
Symmetry-distinct sites (fractional):
1 Pr 0.0779 0.0000 0.2845 [4 per cell]
2 Pr 0.1078 0.2200 0.9168 [8 per cell]
3 Pr 0.1159 0.5000 0.4407 [4 per cell]
4 Pr 0.1954 0.2558 0.3019 [8 per cell]
5 Nd 0.0000 0.2268 0.5000 [4 per cell]
6 Dy 0.0000 0.5000 0.0000 [2 per cell]
7 Dy 0.1891 0.0000 0.7329 [4 per cell]
8 Dy 0.1956 0.5000 0.8386 [4 per cell]

Properties
Relative energy among the computed polymorphs: 12 meV/atom
DOS(E_F): 54.3 states/eV/cell
E_form: 2.02 eV per formula unit



(3)
This record from Alexandria via LeMat-Bulk describes a geometry-optimized PrNdDy structure. The functional is PBE-GGA.

a b c (Å): 5.7746 5.7746 3.5467
angles (deg): 90.00 90.00 120.00
Space group P-6m2 (No. 187)
Symmetry-distinct sites (fractional):
1 Pr 0.0000 0.0000 0.0000 [1 per cell]
2 Nd 0.3333 0.6667 0.5000 [1 per cell]
3 Dy 0.6667 0.3333 0.5000 [1 per cell]

Properties
Relative energy among the computed polymorphs: 52 meV/atom
DOS(E_F): 4.5 states/eV/cell
E_form: 0.18 eV per formula unit